Entry 1:
VASP calculation (PBE) on HfCoSe2Br after structural relaxation.

Summary:
E_form (uncorrected)   0.17 eV/atom
Polymorph energy (0 for the lowest one)   0.47 eV per formula unit

Cell lengths 4.703, 4.703, 4.600 Å; angles 90.00, 90.00, 90.00 degrees
Site moments in Bohr magnetons follow the coordinates.
Atoms (fractional coordinates):
Se  0.500  0.000  0.000  0.00
Se  0.000  0.500  0.000  0.00
Co  0.000  0.000  0.000  0.11
Br  0.000  0.000  0.500  0.01
Hf  0.500  0.500  0.500  -0.05

Entry 2:
VASP calculation (PBE) on HfCoSe2Br after structural relaxation.

Summary:
E_form (uncorrected)   0.07 eV/atom
Polymorph energy (0 for the lowest one)   0.00 eV per formula unit

Cell lengths 5.188, 5.188, 5.192 Å; angles 90.00, 90.00, 90.00 degrees
Site moments in Bohr magnetons follow the coordinates.
Atoms (fractional coordinates):
Br  0.000  0.000  0.500  0.00
Hf  0.000  0.000  0.000  0.02
Co  0.500  0.500  0.500  2.26
Se  0.500  0.000  0.000  0.03
Se  0.000  0.500  0.000  0.03

- Among the records above, which one has the highest E_form (uncorrected)?
  number 1